No. 1
The following is a DFT calculation (PBE) of a relaxed Gd2C2ICl crystal.

POSCAR file:
```
Gd2C2ICl
1.0
7.161 0.000 0.000
0.000 3.859 0.000
-0.941 0.000 10.313
Gd C I Cl
4 4 2 2
Direct
0.000 0.000 0.000 Gd
0.205 0.500 0.718 Gd
0.500 0.500 0.000 Gd
0.705 0.000 0.718 Gd
0.279 0.000 0.894 C
0.427 0.000 0.824 C
0.779 0.500 0.894 C
0.927 0.500 0.824 C
0.188 0.500 0.208 I
0.688 0.000 0.208 I
0.032 0.000 0.554 Cl
0.532 0.500 0.554 Cl
```

Values from the calculation:
- Spin magnetization: 0.00 μB per atom


No. 2
The following is a DFT calculation (PBE) of a relaxed GdNbCCl2 crystal.

POSCAR file:
```
GdNbCCl2
1.0
3.476 0.000 0.000
-1.738 3.011 0.000
0.000 0.000 9.503
Gd Nb C Cl
1 1 1 2
Direct
0.000 0.000 0.000 Gd
0.333 0.667 0.737 Nb
0.667 0.333 0.841 C
0.000 0.000 0.555 Cl
0.333 0.667 0.198 Cl
```

Values from the calculation:
- Spin magnetization: 0.00 μB per atom


No. 3
The following is a DFT calculation (PBE) of a relaxed Nd2Gd2CCl5 crystal.

POSCAR file:
```
Nd2Gd2CCl5
1.0
8.702 -1.922 0.000
8.702 1.922 0.000
-1.855 0.000 7.909
Nd Gd C Cl
2 2 1 5
Direct
0.003 0.003 0.286 Nd
0.997 0.997 0.714 Nd
0.357 0.357 0.420 Gd
0.643 0.643 0.580 Gd
0.500 0.500 0.500 C
0.165 0.165 0.826 Cl
0.174 0.174 0.354 Cl
0.500 0.500 0.000 Cl
0.826 0.826 0.646 Cl
0.835 0.835 0.174 Cl
```

Values from the calculation:
- Spin magnetization: 0.00 μB per atom


No. 4
The following is a DFT calculation (PBE) of a relaxed NdGdC2Cl2 crystal.

POSCAR file:
```
NdGdC2Cl2
1.0
7.126 0.000 0.000
0.000 3.848 0.000
-1.688 0.000 10.581
Nd Gd C Cl
2 2 4 4
Direct
0.000 0.000 0.000 Nd
0.500 0.500 0.000 Nd
0.312 0.500 0.287 Gd
0.812 0.000 0.287 Gd
0.322 0.000 0.114 C
0.494 0.000 0.184 C
0.822 0.500 0.114 C
0.994 0.500 0.184 C
0.118 0.500 0.833 Cl
0.198 0.000 0.446 Cl
0.618 0.000 0.833 Cl
0.698 0.500 0.446 Cl
```

Values from the calculation:
- Spin magnetization: 0.00 μB per atom


No. 5
The following is a DFT calculation (PBE) of a relaxed PrGd3C2Cl2 crystal.

POSCAR file:
```
PrGd3C2Cl2
1.0
3.700 0.000 0.000
-1.850 3.205 0.000
0.000 0.000 14.038
Pr Gd C Cl
1 3 2 2
Direct
0.000 0.000 0.000 Pr
0.000 0.000 0.314 Gd
0.667 0.333 0.500 Gd
0.667 0.333 0.806 Gd
0.333 0.667 0.407 C
0.333 0.667 0.895 C
0.000 0.000 0.651 Cl
0.667 0.333 0.166 Cl
```

Values from the calculation:
- Spin magnetization: 0.00 μB per atom


No. 6
The following is a DFT calculation (PBE) of a relaxed Pr2Gd2CCl5 crystal.

POSCAR file:
```
Pr2Gd2CCl5
1.0
8.710 -1.934 0.000
8.710 1.934 0.000
-1.827 0.000 8.019
Pr Gd C Cl
2 2 1 5
Direct
0.002 0.002 0.286 Pr
0.998 0.998 0.714 Pr
0.357 0.357 0.425 Gd
0.643 0.643 0.575 Gd
0.500 0.500 0.500 C
0.167 0.167 0.817 Cl
0.175 0.175 0.354 Cl
0.500 0.500 0.000 Cl
0.825 0.825 0.646 Cl
0.833 0.833 0.183 Cl
```

Values from the calculation:
- Spin magnetization: 0.00 μB per atom


No. 7
The following is a DFT calculation (PBE) of a relaxed Pr3GdC2Cl2 crystal.

POSCAR file:
```
Pr3GdC2Cl2
1.0
3.766 0.000 0.000
-1.883 3.262 0.000
0.000 0.000 14.402
Pr Gd C Cl
3 1 2 2
Direct
0.000 0.000 0.000 Pr
0.000 0.000 0.312 Pr
0.667 0.333 0.506 Pr
0.667 0.333 0.812 Gd
0.333 0.667 0.409 C
0.333 0.667 0.898 C
0.000 0.000 0.668 Cl
0.667 0.333 0.155 Cl
```

Values from the calculation:
- Spin magnetization: 0.00 μB per atom


No. 8
The following is a DFT calculation (PBE) of a relaxed Gd4C2SCl crystal.

POSCAR file:
```
Gd4C2SCl
1.0
3.722 0.000 0.000
-1.861 3.223 0.000
0.000 0.000 13.429
Gd C S Cl
4 2 1 1
Direct
0.000 0.000 0.140 Gd
0.000 0.000 0.860 Gd
0.667 0.333 0.339 Gd
0.667 0.333 0.661 Gd
0.333 0.667 0.249 C
0.333 0.667 0.751 C
0.667 0.333 0.000 S
0.000 0.000 0.500 Cl
```

Values from the calculation:
- Spin magnetization: 0.00 μB per atom


No. 9
The following is a DFT calculation (PBE) of a relaxed Gd2Sc2CCl5 crystal.

POSCAR file:
```
Gd2Sc2CCl5
1.0
8.332 -1.824 0.000
8.332 1.824 0.000
-1.800 0.000 7.682
Gd Sc C Cl
2 2 1 5
Direct
0.001 0.001 0.288 Gd
0.999 0.999 0.712 Gd
0.362 0.362 0.429 Sc
0.638 0.638 0.571 Sc
0.500 0.500 0.500 C
0.168 0.168 0.810 Cl
0.173 0.173 0.359 Cl
0.500 0.500 0.000 Cl
0.827 0.827 0.641 Cl
0.832 0.832 0.190 Cl
```

Values from the calculation:
- Spin magnetization: 0.00 μB per atom


No. 10
The following is a DFT calculation (PBE) of a relaxed Sm2Gd2CCl5 crystal.

POSCAR file:
```
Sm2Gd2CCl5
1.0
8.651 -1.904 0.000
8.651 1.904 0.000
-1.831 0.000 7.762
Sm Gd C Cl
2 2 1 5
Direct
0.002 0.002 0.287 Sm
0.998 0.998 0.713 Sm
0.356 0.356 0.420 Gd
0.644 0.644 0.580 Gd
0.500 0.500 0.500 C
0.164 0.164 0.832 Cl
0.173 0.173 0.345 Cl
0.500 0.500 0.000 Cl
0.827 0.827 0.655 Cl
0.836 0.836 0.168 Cl
```

Values from the calculation:
- Spin magnetization: 0.00 μB per atom


No. 11
The following is a DFT calculation (PBE) of a relaxed SmGdC2Cl2 crystal.

POSCAR file:
```
SmGdC2Cl2
1.0
7.036 0.000 0.000
0.000 3.813 0.000
-1.024 0.000 10.073
Sm Gd C Cl
2 2 4 4
Direct
0.000 0.000 0.000 Sm
0.500 0.500 0.000 Sm
0.295 0.000 0.300 Gd
0.795 0.500 0.300 Gd
0.075 0.500 0.190 C
0.219 0.500 0.115 C
0.575 0.000 0.190 C
0.719 0.000 0.115 C
0.319 0.000 0.828 Cl
0.473 0.500 0.469 Cl
0.819 0.500 0.828 Cl
0.973 0.000 0.469 Cl
```

Values from the calculation:
- Spin magnetization: 0.00 μB per atom


No. 12
The following is a DFT calculation (PBE) of a relaxed TbGdC2Cl2 crystal.

POSCAR file:
```
TbGdC2Cl2
1.0
6.984 0.000 0.000
0.000 3.767 0.000
-0.992 0.000 10.689
Tb Gd C Cl
2 2 4 4
Direct
0.000 0.000 0.000 Tb
0.500 0.500 0.000 Tb
0.209 0.500 0.721 Gd
0.709 0.000 0.721 Gd
0.281 0.000 0.898 C
0.427 0.000 0.826 C
0.781 0.500 0.898 C
0.927 0.500 0.826 C
0.032 0.000 0.561 Cl
0.175 0.500 0.159 Cl
0.532 0.500 0.561 Cl
0.675 0.000 0.159 Cl
```

Values from the calculation:
- Spin magnetization: 0.00 μB per atom


no.,E (eV/atom)
1,-6.24
2,-6.71
3,-5.43
4,-6.48
5,-6.18
6,-5.43
7,-6.16
8,-6.54
9,-5.74
10,-5.43
11,-6.49
12,-6.49